Crystalline Hf3Zr3ZnBi2 at its relaxed geometry, computed with PBE.

Lattice parameters (Å, degrees): 7.7929 7.7929 3.8618 90.00 90.00 120.00
Closest atoms and distances in Å follow each position.
Sites, in units of the cell vectors:
Hf (0.0000, 0.3906, 0.0000)  1 Zn 3.04, 4 Bi 3.08, 4 Zr 3.29
Hf (0.3906, 0.0000, 0.0000)  1 Zn 3.04, 4 Bi 3.08, 4 Zr 3.29
Hf (0.6094, 0.6094, 0.0000)  1 Zn 3.04, 4 Bi 3.08, 4 Zr 3.29
Zr (0.0000, 0.7583, 0.5000)  2 Zn 2.70, 2 Bi 3.02
Zr (0.2417, 0.2417, 0.5000)  2 Zn 2.70, 2 Bi 3.02
Zr (0.7583, 0.0000, 0.5000)  2 Zn 2.70, 2 Bi 3.02
Zn (0.0000, 0.0000, 0.0000)  6 Zr 2.70
Bi (0.3333, 0.6667, 0.5000)  3 Zr 3.02, 6 Hf 3.08
Bi (0.6667, 0.3333, 0.5000)  3 Zr 3.02, 6 Hf 3.08

The value obtained for the size of the total moment is 0.01 μB/cell. For the distance to the lowest polymorph of the same formula, the calculation gives 0.077 eV/atom. The space-group type is P-62m.

Crystalline Pr4GePt3 at its relaxed geometry, computed with PBE.

Lattice parameters (Å, degrees): 5.8997 4.4568 7.6895 90.00 90.62 90.00
Closest atoms and distances in Å follow each position.
Sites, in units of the cell vectors:
Pr (0.0000, 0.0000, 0.0000)  5 Pt 3.08-3.23, 2 Ge 3.12-3.15
Pr (0.2275, 0.0000, 0.4948)  6 Pt 3.07-3.22, 1 Ge 3.20
Pr (0.4924, 0.5000, 0.8556)  5 Pt 3.00-3.25, 2 Ge 3.12
Pr (0.7322, 0.5000, 0.3670)  5 Pt 3.06-3.21, 2 Ge 3.13
Ge (0.5043, 0.0000, 0.1389)  2 Pt 2.86, 7 Pr 3.12-3.20
Pt (0.0134, 0.5000, 0.7208)  2 Pt 2.90, 6 Pr 3.00-3.17
Pt (0.2204, 0.5000, 0.2206)  2 Ge 2.86, 5 Pr 3.07-3.10
Pt (0.7167, 0.0000, 0.6385)  2 Pt 2.90, 7 Pr 3.06-3.23

The value obtained for the size of the total moment is 0.01 μB/cell. The space-group type is Pm. The raw total energy comes out at -6.26 eV/atom.

Crystalline TbNdNi4Sn2 at its relaxed geometry, computed with PBE.

Lattice parameters (Å, degrees): 4.3819 4.3819 8.8837 90.00 90.00 120.00
Closest atoms and distances in Å follow each position.
Sites, in units of the cell vectors:
Tb (0.0000, 0.0000, 0.0000)  8 Ni 2.82-2.93
Nd (0.3333, 0.6667, 0.5000)  8 Ni 2.96-3.00
Ni (0.0000, 0.0000, 0.3179)  3 Sn 2.62, 1 Tb 2.82, 3 Ni 2.87
Ni (0.0000, 0.0000, 0.6821)  3 Sn 2.62, 1 Tb 2.82, 3 Ni 2.87
Ni (0.3333, 0.6667, 0.1663)  3 Sn 2.62, 3 Ni 2.87, 3 Tb 2.93
Ni (0.3333, 0.6667, 0.8337)  3 Sn 2.62, 3 Ni 2.87, 3 Tb 2.93
Sn (0.6667, 0.3333, 0.2422)  6 Ni 2.62
Sn (0.6667, 0.3333, 0.7578)  6 Ni 2.62

The value obtained for the size of the total moment is 0.00 μB/cell. The space-group type is P-6m2. The raw total energy comes out at -5.46 eV/atom.

Crystalline GaMo4AuN2 at its relaxed geometry, computed with PBE.

Lattice parameters (Å, degrees): 2.8582 2.8582 14.9142 90.00 90.00 120.00
Closest atoms and distances in Å follow each position.
Sites, in units of the cell vectors:
Ga (0.0000, 0.0000, 0.0000)  6 Mo 2.77, 6 Ga 2.86
Mo (0.0000, 0.0000, 0.3363)  3 N 2.16
Mo (0.0000, 0.0000, 0.6637)  3 N 2.16
Mo (0.6667, 0.3333, 0.1489)  3 N 2.16
Mo (0.6667, 0.3333, 0.8511)  3 N 2.16
Au (0.6667, 0.3333, 0.5000)  6 Au 2.86, 6 Mo 2.95
N (0.3333, 0.6667, 0.2428)  6 Mo 2.16
N (0.3333, 0.6667, 0.7572)  6 Mo 2.16

The value obtained for the size of the total moment is 0.00 μB/cell. The space-group type is P-6m2. The raw total energy comes out at -8.34 eV/atom.